Crystalline Nd2Dy2NCl5 at its relaxed geometry, computed with PBE-GGA.

Unit cell a=8.7385 b=8.7385 c=8.0574 alpha=103.34 beta=103.34 gamma=24.70
Last column: nearest neighbours and their distance in Å.
Fractional positions:
Cl: 0.1691 0.1691 0.3256  2 Dy 2.71, 1 Nd 2.83
Cl: 0.1749 0.1749 0.8493  3 Dy 2.76-3.06, 1 Nd 2.89
Cl: 0.5000 0.5000 0.5000  4 Nd 2.99
Cl: 0.8251 0.8251 0.1507  3 Dy 2.76-3.06, 1 Nd 2.89
Cl: 0.8309 0.8309 0.6744  2 Dy 2.71, 1 Nd 2.83
Nd: 0.9989 0.9989 0.2100  2 N 2.52
Nd: 0.0011 0.0011 0.7900  2 N 2.52
Dy: 0.6408 0.6408 0.0745  1 N 2.34
Dy: 0.3592 0.3592 0.9255  1 N 2.34
N: 0.5000 0.5000 0.0000  2 Dy 2.34, 4 Nd 2.52

Values from the calculation:
Crystal system: monoclinic
DFT total energy in eV/atom: -5.50

Crystalline LuTlHgS3 at its relaxed geometry, computed with PBE-GGA.

Unit cell a=4.0272 b=7.8946 c=10.5952 alpha=90.00 beta=90.00 gamma=75.22
Last column: nearest neighbours and their distance in Å.
Fractional positions:
Tl: 0.6902 0.6196 0.7500  4 S 3.02-3.11
Tl: 0.3098 0.3804 0.2500  4 S 3.02-3.11
Hg: 0.3968 0.2064 0.7500  2 S 2.39
Hg: 0.6032 0.7936 0.2500  2 S 2.39
S: 0.3810 0.2380 0.9745  1 Hg 2.39
S: 0.9568 0.0864 0.2500  2 Lu 2.73, 2 Hg 3.01, 2 Tl 3.02
S: 0.6190 0.7620 0.0255  1 Hg 2.39
S: 0.3810 0.2380 0.5255  1 Hg 2.39
S: 0.0432 0.9136 0.7500  2 Lu 2.73, 2 Hg 3.01, 2 Tl 3.02
S: 0.6190 0.7620 0.4745  1 Hg 2.39
Lu: 0.0000 0.0000 0.5000  6 S 2.73
Lu: 0.0000 0.0000 0.0000  6 S 2.73

Values from the calculation:
ΔE to the lowest computed polymorph in kJ/mol of formula units: 0
Crystal system: orthorhombic

Crystalline YMg2Ni9 at its relaxed geometry, computed with PBE-GGA.

Unit cell a=8.3315 b=8.3315 c=8.3315 alpha=33.76 beta=33.76 gamma=33.76
Last column: nearest neighbours and their distance in Å.
Fractional positions:
Ni: 0.4141 0.4141 0.9182  7 Ni 2.39-2.44
Ni: 0.3336 0.3336 0.3336  6 Ni 2.43
Ni: 0.5859 0.5859 0.0818  7 Ni 2.39-2.44
Ni: 0.5859 0.0818 0.5859  7 Ni 2.39-2.44
Ni: 0.5000 0.5000 0.5000  6 Ni 2.39
Ni: 0.4141 0.9182 0.4141  7 Ni 2.39-2.44
Ni: 0.9182 0.4141 0.4141  7 Ni 2.39-2.44
Ni: 0.0818 0.5859 0.5859  7 Ni 2.39-2.44
Ni: 0.6664 0.6664 0.6664  6 Ni 2.43
Mg: 0.8562 0.8562 0.8562  12 Ni 2.79-2.85, 3 Mg 2.99
Mg: 0.1438 0.1438 0.1438  12 Ni 2.79-2.85, 3 Mg 2.99
Y: 0.0000 0.0000 0.0000  6 Ni 2.79

Values from the calculation:
Crystal system: trigonal
DFT total energy in eV/atom: -5.25

Mass density per entry: 5.35; 6.89; 6.95 Mg/m³